CeYGeAu | GGA-PBE | optimized geometry

For the raw total energy, the calculation gives -5.841 eV/atom. For the total magnetization, the calculation gives 0.94 μB/cell. The energy above the lowest structure with this stoichiometry comes out at 0.000 eV per atom. As for the symmetry: Amm2. The crystal system is orthorhombic. The calculation puts the density of states at the Fermi level at 1.774 states/eV/atom. For the energy of formation from the pure elements, the calculation gives -0.768 eV/atom.

Unit cell a=4.3717 b=5.8870 c=5.8870 alpha=41.15 beta=90.00 gamma=90.00
Sites, in units of the cell vectors:
Ce1 0.0000 0.0000 0.0000
Y1 0.5000 0.2757 0.2757
Ge1 0.5000 0.5547 0.5547
Au1 0.0000 0.7228 0.7228


TaTl4Br | GGA-PBE | optimized geometry

For the raw total energy, the calculation gives -3.047 eV/atom. For the total magnetization, the calculation gives 2.57 μB/cell. As for the symmetry: F-43m. The crystal system is cubic. Its uncorrected formation energy is 0.7844 eV per atom. The calculation puts the density of states at the Fermi level at 1.098 states/eV/atom.

Unit cell a=6.2742 b=6.2742 c=6.2742 alpha=60.00 beta=60.00 gamma=60.00
Sites, in units of the cell vectors:
Ta1 0.0000 0.0000 0.0000
Tl1 0.1245 0.6252 0.6252
Tl2 0.6252 0.1245 0.6252
Tl3 0.6252 0.6252 0.1245
Tl4 0.6252 0.6252 0.6252
Br1 0.2500 0.2500 0.2500


Na2TaTlFe | GGA-PBE | optimized geometry

For the raw total energy, the calculation gives -4.057 eV/atom. For the total magnetization, the calculation gives 0.00 μB/cell. The energy above the lowest structure with this stoichiometry comes out at 0.000 eV per atom. As for the symmetry: P4/mmm. The crystal system is tetragonal. The calculation puts the density of states at the Fermi level at 0.926 states/eV/atom. For the energy of formation from the pure elements, the calculation gives 1.007 eV/atom.

Unit cell a=5.3701 b=5.3701 c=4.4121 alpha=90.00 beta=90.00 gamma=90.00
Sites, in units of the cell vectors:
Na1 0.0000 0.5000 0.0000
Na2 0.5000 0.0000 0.0000
Ta1 0.0000 0.0000 0.5000
Tl1 0.5000 0.5000 0.5000
Fe1 0.0000 0.0000 0.0000


CeAlOs | GGA-PBE | optimized geometry

For the raw total energy, the calculation gives -7.425 eV/atom. For the total magnetization, the calculation gives 0.00 μB/cell. As for the symmetry: Pnma. The crystal system is orthorhombic. The calculation puts the density of states at the Fermi level at 1.093 states/eV/atom. For the energy of formation from the pure elements, the calculation gives -0.456 eV/atom.

Unit cell a=7.5085 b=4.6364 c=6.7666 alpha=90.00 beta=90.00 gamma=90.00
Sites, in units of the cell vectors:
Ce1 0.0352 0.2500 0.1772
Ce2 0.4648 0.7500 0.6772
Ce3 0.5352 0.2500 0.3228
Ce4 0.9648 0.7500 0.8228
Al1 0.1889 0.2500 0.6182
Al2 0.3111 0.7500 0.1182
Al3 0.6889 0.2500 0.8818
Al4 0.8111 0.7500 0.3818
Os1 0.1455 0.7500 0.4473
Os2 0.3545 0.2500 0.9473
Os3 0.6455 0.7500 0.0527
Os4 0.8545 0.2500 0.5527


Zr2InP | GGA-PBE | optimized geometry

For the raw total energy, the calculation gives -6.690 eV/atom. For the total magnetization, the calculation gives 0.00 μB/cell. The energy above the lowest structure with this stoichiometry comes out at 0.472 eV per atom. As for the symmetry: I-4m2. The crystal system is tetragonal. The calculation puts the density of states at the Fermi level at 0.603 states/eV/atom. For the energy of formation from the pure elements, the calculation gives -0.379 eV/atom.

Unit cell a=5.6221 b=5.6221 c=5.6221 alpha=137.48 beta=137.48 gamma=61.69
Sites, in units of the cell vectors:
Zr1 0.0000 0.0000 0.0000
Zr2 0.7500 0.2500 0.5000
In1 0.2500 0.7500 0.5000
P1 0.5000 0.5000 0.0000


GdPaTcRh | GGA-PBE | optimized geometry

For the raw total energy, the calculation gives -10.695 eV/atom. For the total magnetization, the calculation gives 6.98 μB/cell. As for the symmetry: F-43m. The crystal system is cubic. The calculation puts the density of states at the Fermi level at 0.794 states/eV/atom. For the energy of formation from the pure elements, the calculation gives -0.371 eV/atom.

Unit cell a=4.8770 b=4.8770 c=4.8770 alpha=60.00 beta=60.00 gamma=60.00
Sites, in units of the cell vectors:
Gd1 0.0000 0.0000 0.0000
Pa1 0.5000 0.5000 0.5000
Tc1 0.2500 0.2500 0.2500
Rh1 0.7500 0.7500 0.7500